Pr3Sm3MgTe8 after structural relaxation, computed with PBE.

a = 8.9198 Å, b = 8.9198 Å, c = 22.0128 Å
α = 90.00°, β = 90.00°, γ = 120.00°
Closest atoms and distances in Å follow each position.
Space group R-3m (No. 166, hexagonal axes)
Unique sites:
1 Pr 0.0000 0.5000 0.0000 (multiplicity 9)  6 Te 3.19
2 Sm 0.0000 0.5000 0.5000 (multiplicity 9)  6 Te 3.13-3.14
3 Mg 0.0000 0.0000 0.5000 (multiplicity 3)  6 Te 3.06
4 Te 0.0000 0.0000 0.2478 (multiplicity 6)  3 Sm 3.13, 3 Pr 3.19
5 Te 0.0078 0.5039 0.2459 (multiplicity 18)  1 Mg 3.06, 2 Sm 3.14, 2 Pr 3.19

Electronic total energy ... -5.036 eV/atom
Size of the total moment ... 0.0 μB per formula unit
Density of states at the Fermi level ... 0.29 states/eV per atom

Pr2SmMgTe5 after structural relaxation, computed with PBE.

a = 4.3980 Å, b = 19.1741 Å, c = 13.6279 Å
α = 90.00°, β = 90.00°, γ = 90.00°
Closest atoms and distances in Å follow each position.
Space group Cmc2_1 (No. 36)
Unique sites:
1 Pr 0.0000 0.1121 0.0000 (multiplicity 4)  8 Te 3.29-3.42
2 Pr 0.0000 0.1335 0.6197 (multiplicity 4)  8 Te 3.25-3.52
3 Sm 0.0000 0.2045 0.3269 (multiplicity 4)  6 Te 3.10-3.16
4 Mg 0.0000 0.4478 0.7728 (multiplicity 4)  4 Te 2.69-2.98
5 Te 0.0000 0.0484 0.3910 (multiplicity 4)  2 Mg 2.73
6 Te 0.0000 0.2836 0.9891 (multiplicity 4)  2 Sm 3.13, 3 Pr 3.25-3.29
7 Te 0.0000 0.3140 0.6620 (multiplicity 4)  1 Mg 2.98, 2 Sm 3.16
8 Te 0.0000 0.3659 0.3154 (multiplicity 4)  1 Sm 3.10, 4 Pr 3.37-3.46
9 Te 0.0000 0.4955 0.0923 (multiplicity 4)  1 Mg 2.69

Electronic total energy ... -4.775 eV/atom
Size of the total moment ... 0.0 μB per formula unit
Density of states at the Fermi level ... 0.21 states/eV per atom

Pr4Sm3MgTe8 after structural relaxation, computed with PBE.

a = 8.8888 Å, b = 8.8888 Å, c = 22.1982 Å
α = 90.00°, β = 90.00°, γ = 120.00°
Closest atoms and distances in Å follow each position.
Space group R-3m (No. 166, hexagonal axes)
Unique sites:
1 Pr 0.0000 0.0000 0.0000 (multiplicity 3)  6 Te 3.31
2 Pr 0.0000 0.5000 0.0000 (multiplicity 9)  6 Te 3.19-3.20
3 Sm 0.0000 0.5000 0.5000 (multiplicity 9)  6 Te 3.13-3.14
4 Mg 0.0000 0.0000 0.5000 (multiplicity 3)  6 Te 3.02
5 Te 0.0000 0.0000 0.2476 (multiplicity 6)  3 Sm 3.13, 3 Pr 3.19
6 Te 0.0126 0.5063 0.2447 (multiplicity 18)  1 Mg 3.02, 2 Sm 3.14, 3 Pr 3.20-3.31

Electronic total energy ... -5.067 eV/atom
Size of the total moment ... 0.0 μB per formula unit
Density of states at the Fermi level ... 0.70 states/eV per atom

Pr4Sm2ThMg after structural relaxation, computed with PBE.

a = 5.9865 Å, b = 5.9865 Å, c = 7.4827 Å
α = 90.00°, β = 90.00°, γ = 90.00°
Closest atoms and distances in Å follow each position.
Space group P4/mmm (No. 123)
Unique sites:
1 Pr 0.0000 0.5000 0.2358 (multiplicity 4)  2 Th 3.47, 2 Mg 3.47, 1 Pr 3.53, 4 Sm 3.59
2 Sm 0.0000 0.0000 0.5000 (multiplicity 1)  8 Pr 3.59, 2 Th 3.74
3 Sm 0.5000 0.5000 0.5000 (multiplicity 1)  8 Pr 3.59, 2 Mg 3.74
4 Th 0.0000 0.0000 0.0000 (multiplicity 1)  8 Pr 3.47, 2 Sm 3.74
5 Mg 0.5000 0.5000 0.0000 (multiplicity 1)  8 Pr 3.47, 2 Sm 3.74

Electronic total energy ... -4.605 eV/atom
Formation energy from the elements ... 0.0914 eV/atom
Size of the total moment ... 0.0 μB per formula unit
Density of states at the Fermi level ... 1.45 states/eV per atom

PrSmThMg after structural relaxation, computed with PBE.

a = 3.6484 Å, b = 3.6484 Å, c = 9.4176 Å
α = 90.00°, β = 90.00°, γ = 90.00°
Closest atoms and distances in Å follow each position.
Space group P4mm (No. 99)
Unique sites:
1 Pr 0.0000 0.0000 0.0000 (multiplicity 1)  4 Mg 3.47, 4 Th 3.57, 4 Pr 3.65
2 Sm 0.0000 0.0000 0.4829 (multiplicity 1)  4 Mg 3.41, 4 Th 3.53, 4 Sm 3.65
3 Th 0.5000 0.5000 0.7385 (multiplicity 1)  4 Sm 3.53, 4 Pr 3.57, 4 Th 3.65
4 Mg 0.5000 0.5000 0.2465 (multiplicity 1)  4 Sm 3.41, 4 Pr 3.47, 4 Mg 3.65

Distance to the lowest polymorph of the same formula ... 0.0 meV/atom
Electronic total energy ... -4.675 eV/atom
Formation energy from the elements ... -0.0464 eV/atom
Size of the total moment ... 0.0 μB per formula unit
Density of states at the Fermi level ... 0.91 states/eV per atom

PrSmThMg after structural relaxation, computed with PBE.

a = 7.9627 Å, b = 7.9627 Å, c = 7.9627 Å
α = 90.00°, β = 90.00°, γ = 90.00°
Closest atoms and distances in Å follow each position.
Space group F-43m (No. 216)
Unique sites:
1 Pr 0.0000 0.0000 0.0000 (multiplicity 4)  4 Mg 3.45, 4 Th 3.45
2 Sm 0.0000 0.0000 0.5000 (multiplicity 4)  4 Th 3.45, 4 Mg 3.45
3 Th 0.2500 0.2500 0.7500 (multiplicity 4)  4 Pr 3.45, 4 Sm 3.45
4 Mg 0.2500 0.2500 0.2500 (multiplicity 4)  4 Sm 3.45, 4 Pr 3.45

Distance to the lowest polymorph of the same formula ... 191.5 meV/atom
Electronic total energy ... -4.483 eV/atom
Formation energy from the elements ... 0.1451 eV/atom
Size of the total moment ... 0.0 μB per formula unit
Density of states at the Fermi level ... 1.60 states/eV per atom

Pr4SmTm2Mg after structural relaxation, computed with PBE.

a = 5.7826 Å, b = 5.7894 Å, c = 7.8595 Å
α = 90.00°, β = 90.00°, γ = 90.00°
Closest atoms and distances in Å follow each position.
Space group Pmmm (No. 47)
Unique sites:
1 Pr 0.0000 0.0000 0.2350 (multiplicity 2)  2 Mg 3.43, 4 Tm 3.43-3.56, 2 Sm 3.57, 1 Pr 3.69
2 Pr 0.5000 0.5000 0.2365 (multiplicity 2)  4 Tm 3.44-3.56, 2 Mg 3.44, 2 Sm 3.56, 1 Pr 3.72
3 Sm 0.0000 0.5000 0.5000 (multiplicity 1)  8 Pr 3.56-3.57, 2 Tm 3.93
4 Tm 0.0000 0.5000 0.0000 (multiplicity 1)  8 Pr 3.43-3.44
5 Tm 0.5000 0.0000 0.5000 (multiplicity 1)  8 Pr 3.56, 2 Mg 3.93
6 Mg 0.5000 0.0000 0.0000 (multiplicity 1)  8 Pr 3.43-3.44

Electronic total energy ... -4.247 eV/atom
Formation energy from the elements ... 0.0497 eV/atom
Size of the total moment ... 0.0 μB per formula unit
Density of states at the Fermi level ... 1.35 states/eV per atom

PrSm2TmMg after structural relaxation, computed with PBE.

a = 6.2368 Å, b = 5.6669 Å, c = 9.4285 Å
α = 90.00°, β = 108.55°, γ = 90.00°
Closest atoms and distances in Å follow each position.
Space group P2_1/m (No. 11)
Unique sites:
1 Pr 0.0371 0.2500 0.3869 (multiplicity 2)  1 Tm 3.45, 3 Mg 3.50-3.78, 6 Sm 3.51-3.80, 2 Pr 3.66
2 Sm 0.3771 0.7500 0.3924 (multiplicity 2)  5 Sm 3.49-3.67, 1 Tm 3.52, 4 Pr 3.53-3.80, 2 Mg 3.56-3.64
3 Sm 0.4532 0.2500 0.1974 (multiplicity 2)  3 Mg 3.48, 3 Sm 3.49-3.67, 4 Tm 3.49-3.66, 2 Pr 3.51-3.59
4 Tm 0.1570 0.7500 0.9991 (multiplicity 2)  4 Mg 3.43-3.69, 2 Tm 3.45, 1 Pr 3.45, 5 Sm 3.49-3.66
5 Mg 0.2274 0.2500 0.8092 (multiplicity 2)  4 Tm 3.43-3.69, 5 Sm 3.48-3.64, 3 Pr 3.50-3.78

Electronic total energy ... -4.038 eV/atom
Formation energy from the elements ... 0.0192 eV/atom
Size of the total moment ... 0.0 μB per formula unit
Density of states at the Fermi level ... 1.38 states/eV per atom

PrSmTm2Mg after structural relaxation, computed with PBE.

a = 12.7512 Å, b = 3.5476 Å, c = 14.8476 Å
α = 90.00°, β = 112.11°, γ = 90.00°
Closest atoms and distances in Å follow each position.
Space group C2/m (No. 12)
Unique sites:
1 Pr 0.1450 0.0000 0.0305 (multiplicity 4)  3 Mg 3.42-3.79, 5 Pr 3.46-3.60, 4 Tm 3.53-3.62
2 Sm 0.2488 0.0000 0.3753 (multiplicity 4)  2 Mg 3.43, 6 Tm 3.44-3.56, 2 Sm 3.55
3 Tm 0.0297 0.5000 0.4026 (multiplicity 4)  4 Tm 3.26-3.55, 2 Mg 3.42, 4 Sm 3.44-3.46
4 Tm 0.0385 0.5000 0.1837 (multiplicity 4)  3 Tm 3.29-3.55, 3 Mg 3.34-3.62, 4 Pr 3.53-3.62, 2 Sm 3.56
5 Mg 0.1652 0.0000 0.7821 (multiplicity 4)  5 Tm 3.34-3.62, 2 Pr 3.42, 2 Sm 3.43, 2 Mg 3.55

Electronic total energy ... -3.937 eV/atom
Formation energy from the elements ... 0.0705 eV/atom
Size of the total moment ... 0.0 μB per formula unit
Density of states at the Fermi level ... 1.51 states/eV per atom

PrSmTmMg after structural relaxation, computed with PBE.

a = 7.8915 Å, b = 7.8915 Å, c = 7.8915 Å
α = 90.00°, β = 90.00°, γ = 90.00°
Closest atoms and distances in Å follow each position.
Space group F-43m (No. 216)
Unique sites:
1 Pr 0.0000 0.0000 0.0000 (multiplicity 4)  4 Mg 3.42, 4 Tm 3.42
2 Sm 0.0000 0.0000 0.5000 (multiplicity 4)  4 Mg 3.42, 4 Tm 3.42
3 Tm 0.2500 0.2500 0.2500 (multiplicity 4)  4 Pr 3.42, 4 Sm 3.42
4 Mg 0.2500 0.2500 0.7500 (multiplicity 4)  4 Pr 3.42, 4 Sm 3.42

Distance to the lowest polymorph of the same formula ... 37.6 meV/atom
Electronic total energy ... -3.879 eV/atom
Formation energy from the elements ... 0.0123 eV/atom
Size of the total moment ... 0.0 μB per formula unit
Density of states at the Fermi level ... 1.05 states/eV per atom

PrSmTmMg after structural relaxation, computed with PBE.

a = 3.7017 Å, b = 3.7017 Å, c = 9.0385 Å
α = 90.00°, β = 90.00°, γ = 90.00°
Closest atoms and distances in Å follow each position.
Space group P4mm (No. 99)
Unique sites:
1 Pr 0.0000 0.0000 0.0000 (multiplicity 1)  4 Mg 3.39, 4 Tm 3.58, 4 Pr 3.70
2 Sm 0.0000 0.0000 0.4665 (multiplicity 1)  4 Mg 3.33, 4 Tm 3.54, 4 Sm 3.70
3 Tm 0.5000 0.5000 0.7294 (multiplicity 1)  4 Sm 3.54, 4 Pr 3.58, 4 Tm 3.70
4 Mg 0.5000 0.5000 0.2381 (multiplicity 1)  4 Sm 3.33, 4 Pr 3.39, 4 Mg 3.70

Distance to the lowest polymorph of the same formula ... 0.0 meV/atom
Electronic total energy ... -3.916 eV/atom
Formation energy from the elements ... -0.0253 eV/atom
Size of the total moment ... 0.0 μB per formula unit
Density of states at the Fermi level ... 1.29 states/eV per atom

Pr4Sm2TmMg after structural relaxation, computed with PBE.

a = 5.1122 Å, b = 5.1150 Å, c = 10.1159 Å
α = 90.00°, β = 90.04°, γ = 90.00°
Closest atoms and distances in Å follow each position.
Space group P2/m (No. 10)
Unique sites:
1 Pr 0.0003 0.0000 0.2480 (multiplicity 2)  2 Mg 3.58, 4 Sm 3.58-3.61, 2 Tm 3.61, 4 Pr 3.61-3.62
2 Pr 0.5000 0.5000 0.2475 (multiplicity 2)  4 Sm 3.58-3.61, 2 Mg 3.58, 2 Tm 3.61, 4 Pr 3.61-3.62
3 Sm 0.0000 0.5000 0.0000 (multiplicity 1)  8 Pr 3.58, 4 Mg 3.62
4 Sm 0.5000 0.0000 0.5000 (multiplicity 1)  8 Pr 3.61, 4 Tm 3.62
5 Tm 0.0000 0.5000 0.5000 (multiplicity 1)  8 Pr 3.61, 4 Sm 3.62
6 Mg 0.5000 0.0000 0.0000 (multiplicity 1)  8 Pr 3.58, 4 Sm 3.62

Electronic total energy ... -4.323 eV/atom
Formation energy from the elements ... 0.0044 eV/atom
Size of the total moment ... 0.0 μB per formula unit
Density of states at the Fermi level ... 1.31 states/eV per atom